[1]
Li2CdNi: PBEsol geometry, meta-GGA SCAN.

The calculation puts the final energy at -12.882 eV per atom. The magnetic moment comes out at 0.00 Bohr magnetons per cell.

It has space group P4/mmm (No. 123), with a = 3.7468 Å, b = 3.7468 Å, c = 4.0210 Å, α = 90.00°, β = 90.00° and γ = 90.00°. The inequivalent atoms are Li at (0.0000, 0.5000, 0.0000), Cd at (0.0000, 0.0000, 0.5000) and Ni at (0.5000, 0.5000, 0.5000).



[2]
LiCdNi4: PBEsol geometry, meta-GGA SCAN.

The calculation puts the final energy at -16.235 eV per atom. The magnetic moment comes out at 0.00 Bohr magnetons per cell.

It has space group F-43m (No. 216), with a = 6.6707 Å, b = 6.6707 Å, c = 6.6707 Å, α = 90.00°, β = 90.00° and γ = 90.00°. The inequivalent atoms are Li at (0.0000, 0.0000, 0.0000), Cd at (0.2500, 0.2500, 0.7500) and Ni at (0.1253, 0.1253, 0.3747).



[3]
Li2CdNi: PBEsol geometry, meta-GGA SCAN.

The calculation puts the final energy at -12.863 eV per atom. The magnetic moment comes out at 0.00 Bohr magnetons per cell.

It has space group P2/m (No. 10), with a = 2.7413 Å, b = 4.3960 Å, c = 4.7735 Å, α = 90.00°, β = 96.46° and γ = 90.00°. The inequivalent atoms are Li at (0.2183, 0.0000, 0.2719), Cd at (0.5000, 0.5000, 0.0000) and Ni at (0.0000, 0.5000, 0.5000).



[4]
Li2CdNi: PBEsol geometry, meta-GGA SCAN.

The calculation puts the final energy at -12.885 eV per atom. The magnetic moment comes out at 0.00 Bohr magnetons per cell.

It has space group I4/mmm (No. 139), with a = 3.7649 Å, b = 3.7649 Å, c = 7.9335 Å, α = 90.00°, β = 90.00° and γ = 90.00°. The inequivalent atoms are Li at (0.0000, 0.5000, 0.2500), Cd at (0.0000, 0.0000, 0.0000) and Ni at (0.0000, 0.0000, 0.5000).